1:
! PBE Li3La2, optimized geometry; values from VASP
! N(E_F): 20.27 states/eV per cell
&SYSTEM
  ibrav = 0, nat = 15, ntyp = 2
/
ATOMIC_SPECIES
Li 6.94 Li.upf
La 138.91 La.upf
CELL_PARAMETERS angstrom
3.504 0.000 0.000
-1.752 3.035 0.000
0.000 0.000 40.427
ATOMIC_POSITIONS angstrom
Li 0.000 0.000 0.000
Li 0.000 0.000 7.866
Li 0.000 0.000 32.561
Li 0.000 2.023 19.085
Li 0.000 2.023 26.951
Li 0.000 2.023 34.817
Li 1.752 1.012 5.610
Li 1.752 1.012 13.476
Li 1.752 1.012 21.342
La 0.000 0.000 16.255
La 0.000 0.000 24.172
La 0.000 2.023 2.780
La 0.000 2.023 10.696
La 1.752 1.012 29.731
La 1.752 1.012 37.647

---

2:
! PBE Li3La2, optimized geometry; values from VASP
! N(E_F): 3.69 states/eV per cell
&SYSTEM
  ibrav = 0, nat = 5, ntyp = 2
/
ATOMIC_SPECIES
Li 6.94 Li.upf
La 138.91 La.upf
CELL_PARAMETERS angstrom
5.129 0.000 0.000
-2.564 4.442 0.000
0.000 0.000 6.997
ATOMIC_POSITIONS angstrom
Li 0.000 0.000 0.000
Li 0.000 2.961 2.590
Li 2.564 1.481 4.407
La 0.000 2.961 6.161
La 2.564 1.481 0.836

---

Name the least stable of them. 2.

---

1:
! PBE LiLa3, optimized geometry; values from VASP
! N(E_F): 10.79 states/eV per cell
&SYSTEM
  ibrav = 0, nat = 8, ntyp = 2
/
ATOMIC_SPECIES
Li 6.94 Li.upf
La 138.91 La.upf
CELL_PARAMETERS angstrom
5.001 0.000 0.000
0.000 5.001 0.000
0.000 0.000 10.509
ATOMIC_POSITIONS angstrom
Li 0.000 0.000 0.000
Li 2.500 2.500 5.254
La 0.000 0.000 5.254
La 0.000 2.500 2.627
La 0.000 2.500 7.882
La 2.500 0.000 2.627
La 2.500 0.000 7.882
La 2.500 2.500 0.000

---

2:
! PBE LiLa3, optimized geometry; values from VASP
! N(E_F): 12.32 states/eV per cell
&SYSTEM
  ibrav = 0, nat = 8, ntyp = 2
/
ATOMIC_SPECIES
Li 6.94 Li.upf
La 138.91 La.upf
CELL_PARAMETERS angstrom
6.493 0.000 0.000
0.000 6.493 0.000
0.000 0.000 6.493
ATOMIC_POSITIONS angstrom
Li 0.000 0.000 0.000
Li 3.247 3.247 3.247
La 0.000 1.623 3.247
La 0.000 4.870 3.247
La 1.623 3.247 0.000
La 3.247 0.000 1.623
La 3.247 0.000 4.870
La 4.870 3.247 0.000

---

3:
! PBE LiLa3, optimized geometry; values from VASP
! N(E_F): 11.86 states/eV per cell
&SYSTEM
  ibrav = 0, nat = 8, ntyp = 2
/
ATOMIC_SPECIES
Li 6.94 Li.upf
La 138.91 La.upf
CELL_PARAMETERS angstrom
7.375 0.000 0.000
-3.687 6.387 0.000
0.000 0.000 5.440
ATOMIC_POSITIONS angstrom
Li 0.000 4.258 1.360
Li 3.687 2.129 4.080
La 0.000 2.236 4.080
La -1.751 5.268 4.080
La 1.937 1.118 1.360
La 1.751 5.268 4.080
La 5.438 1.118 1.360
La 3.687 4.150 1.360

---

4:
! PBE LiLa3, optimized geometry; values from VASP
! N(E_F): 11.89 states/eV per cell
&SYSTEM
  ibrav = 0, nat = 12, ntyp = 2
/
ATOMIC_SPECIES
Li 6.94 Li.upf
La 138.91 La.upf
CELL_PARAMETERS angstrom
3.674 0.000 0.000
-1.837 3.181 0.000
0.000 0.000 34.911
ATOMIC_POSITIONS angstrom
Li 0.000 0.000 0.000
Li 0.000 2.121 23.274
Li 1.837 1.060 11.637
La 0.000 0.000 8.805
La 0.000 0.000 17.455
La 0.000 0.000 26.106
La 0.000 2.121 5.818
La 0.000 2.121 14.469
La 0.000 2.121 32.079
La 1.837 1.060 2.832
La 1.837 1.060 20.442
La 1.837 1.060 29.092

---

Name the least stable of them. 2.

---

1:
! PBE LiLa3, optimized geometry; values from VASP
! N(E_F): 12.41 states/eV per cell
&SYSTEM
  ibrav = 0, nat = 8, ntyp = 2
/
ATOMIC_SPECIES
Li 6.94 Li.upf
La 138.91 La.upf
CELL_PARAMETERS angstrom
5.575 0.000 0.000
0.000 7.316 0.000
0.000 0.000 6.376
ATOMIC_POSITIONS angstrom
Li 1.394 1.829 1.128
Li 4.181 5.487 5.248
La 1.394 3.665 4.295
La 1.394 5.487 0.903
La 1.394 7.309 4.295
La 4.181 0.007 2.081
La 4.181 1.829 5.473
La 4.181 3.651 2.081

---

2:
! PBE LiLa3, optimized geometry; values from VASP
! N(E_F): 5.09 states/eV per cell
&SYSTEM
  ibrav = 0, nat = 4, ntyp = 2
/
ATOMIC_SPECIES
Li 6.94 Li.upf
La 138.91 La.upf
CELL_PARAMETERS angstrom
3.676 0.000 0.000
0.000 5.464 0.000
-1.725 0.000 6.559
ATOMIC_POSITIONS angstrom
Li 0.000 0.000 0.000
La -0.647 2.732 5.054
La 0.976 0.000 3.280
La 2.598 2.732 1.505

---

Name the least stable of them. 1.

---

1:
! PBE LiLa3, optimized geometry; values from VASP
! N(E_F): 27.35 states/eV per cell
&SYSTEM
  ibrav = 0, nat = 16, ntyp = 2
/
ATOMIC_SPECIES
Li 6.94 Li.upf
La 138.91 La.upf
CELL_PARAMETERS angstrom
8.029 0.000 0.000
0.000 8.029 0.000
0.000 0.000 8.029
ATOMIC_POSITIONS angstrom
Li 0.000 0.000 0.000
Li 0.000 4.014 4.014
Li 4.014 0.000 4.014
Li 4.014 4.014 0.000
La 0.000 0.000 4.014
La 0.000 4.014 0.000
La 2.007 2.007 2.007
La 2.007 2.007 6.022
La 2.007 6.022 2.007
La 2.007 6.022 6.022
La 4.014 0.000 0.000
La 4.014 4.014 4.014
La 6.022 2.007 2.007
La 6.022 2.007 6.022
La 6.022 6.022 2.007
La 6.022 6.022 6.022

---

2:
! PBE LiLa3, optimized geometry; values from VASP
! N(E_F): 4.88 states/eV per cell
&SYSTEM
  ibrav = 0, nat = 4, ntyp = 2
/
ATOMIC_SPECIES
Li 6.94 Li.upf
La 138.91 La.upf
CELL_PARAMETERS angstrom
3.690 0.000 0.000
0.000 5.813 0.000
0.000 0.000 6.095
ATOMIC_POSITIONS angstrom
Li 0.000 0.000 0.000
La 0.000 2.906 4.001
La 1.845 0.000 3.148
La 1.845 2.906 0.700

---

3:
! PBE LiLa3, optimized geometry; values from VASP
! N(E_F): 10.60 states/eV per cell
&SYSTEM
  ibrav = 0, nat = 8, ntyp = 2
/
ATOMIC_SPECIES
Li 6.94 Li.upf
La 138.91 La.upf
CELL_PARAMETERS angstrom
3.785 0.000 0.000
0.000 5.920 0.000
0.000 0.000 11.697
ATOMIC_POSITIONS angstrom
Li 0.000 0.000 0.000
Li 1.893 2.960 5.848
La 0.000 0.000 5.848
La 0.000 2.960 3.136
La 0.000 2.960 8.561
La 1.893 0.000 2.713
La 1.893 0.000 8.984
La 1.893 2.960 0.000

---

Name the least stable of them. 1.

---

1:
! PBE LiLa3, optimized geometry; values from VASP
! N(E_F): 6.06 states/eV per cell
&SYSTEM
  ibrav = 0, nat = 4, ntyp = 2
/
ATOMIC_SPECIES
Li 6.94 Li.upf
La 138.91 La.upf
CELL_PARAMETERS angstrom
3.443 0.000 0.000
0.000 3.501 0.000
0.000 0.000 11.312
ATOMIC_POSITIONS angstrom
Li 0.000 0.000 0.000
La 0.000 1.750 2.906
La 1.722 0.000 5.680
La 1.722 1.750 8.746

---

2:
! PBE LiLa3, optimized geometry; values from VASP
! N(E_F): 5.94 states/eV per cell
&SYSTEM
  ibrav = 0, nat = 4, ntyp = 2
/
ATOMIC_SPECIES
Li 6.94 Li.upf
La 138.91 La.upf
CELL_PARAMETERS angstrom
3.558 0.000 0.000
0.000 5.177 0.000
0.000 0.000 7.199
ATOMIC_POSITIONS angstrom
Li 0.000 0.000 0.000
La 0.000 0.000 3.599
La 1.779 2.589 1.742
La 1.779 2.589 5.457

---

Name the least stable of them. 1.

---

1:
! PBE LiLa3, optimized geometry; values from VASP
! N(E_F): 9.59 states/eV per cell
&SYSTEM
  ibrav = 0, nat = 8, ntyp = 2
/
ATOMIC_SPECIES
Li 6.94 Li.upf
La 138.91 La.upf
CELL_PARAMETERS angstrom
7.542 0.000 0.000
0.000 9.605 0.000
0.000 0.000 3.642
ATOMIC_POSITIONS angstrom
Li 0.000 0.000 0.000
Li 3.771 4.803 0.000
La 0.000 4.803 0.000
La 1.885 2.401 1.821
La 1.885 7.204 1.821
La 3.771 0.000 0.000
La 5.656 2.401 1.821
La 5.656 7.204 1.821

---

2:
! PBE LiLa3, optimized geometry; values from VASP
! N(E_F): 6.03 states/eV per cell
&SYSTEM
  ibrav = 0, nat = 4, ntyp = 2
/
ATOMIC_SPECIES
Li 6.94 Li.upf
La 138.91 La.upf
CELL_PARAMETERS angstrom
5.109 0.000 0.000
0.000 5.109 0.000
0.000 0.000 5.109
ATOMIC_POSITIONS angstrom
Li 0.000 0.000 0.000
La 0.000 2.555 2.555
La 2.555 0.000 2.555
La 2.555 2.555 0.000

---

Name the least stable of them. 2.

---

1:
! PBE Li5La, optimized geometry; values from VASP
! N(E_F): 4.54 states/eV per cell
&SYSTEM
  ibrav = 0, nat = 6, ntyp = 2
/
ATOMIC_SPECIES
Li 6.94 Li.upf
La 138.91 La.upf
CELL_PARAMETERS angstrom
0.000 4.097 4.097
4.097 0.000 4.097
4.097 4.097 0.000
ATOMIC_POSITIONS angstrom
Li 0.000 0.000 0.000
Li 5.140 3.054 3.054
Li 3.054 5.140 3.054
Li 3.054 3.054 5.140
Li 5.140 5.140 5.140
La 2.049 2.049 2.049

---

2:
! PBE Li5La, optimized geometry; values from VASP
! N(E_F): 8.38 states/eV per cell
&SYSTEM
  ibrav = 0, nat = 12, ntyp = 2
/
ATOMIC_SPECIES
Li 6.94 Li.upf
La 138.91 La.upf
CELL_PARAMETERS angstrom
5.281 0.000 0.000
0.000 3.136 0.000
0.000 0.000 16.971
ATOMIC_POSITIONS angstrom
Li 0.000 0.000 0.000
Li 0.000 0.000 5.110
Li 0.000 0.000 10.966
Li 0.000 1.568 2.481
Li 0.000 1.568 8.485
Li 0.000 1.568 13.596
Li 2.640 0.000 1.600
Li 2.640 0.000 12.538
Li 2.640 1.568 4.053
Li 2.640 1.568 10.085
La 2.640 0.000 7.068
La 2.640 1.568 15.553

---

3:
! PBE Li5La, optimized geometry; values from VASP
! N(E_F): 9.17 states/eV per cell
&SYSTEM
  ibrav = 0, nat = 12, ntyp = 2
/
ATOMIC_SPECIES
Li 6.94 Li.upf
La 138.91 La.upf
CELL_PARAMETERS angstrom
11.121 0.000 0.000
0.000 3.327 0.000
-2.882 0.000 7.600
ATOMIC_POSITIONS angstrom
Li 0.000 0.000 0.000
Li -0.683 1.664 6.604
Li 1.131 1.664 2.276
Li 1.547 0.000 5.324
Li 3.361 0.000 0.996
Li 5.560 1.664 0.000
Li 4.878 0.000 6.604
Li 6.691 0.000 2.276
Li 7.108 1.664 5.324
Li 8.921 1.664 0.996
La -1.441 0.000 3.800
La 4.119 1.664 3.800

---

Name the least stable of them. 2.

---

1:
! PBE LiLa5, optimized geometry; values from VASP
! N(E_F): 16.51 states/eV per cell
&SYSTEM
  ibrav = 0, nat = 12, ntyp = 2
/
ATOMIC_SPECIES
Li 6.94 Li.upf
La 138.91 La.upf
CELL_PARAMETERS angstrom
10.044 0.000 0.000
0.000 5.803 0.000
-0.010 0.000 7.095
ATOMIC_POSITIONS angstrom
Li 0.000 0.000 0.000
Li 5.022 2.902 0.000
La 0.004 0.000 3.547
La 1.676 2.902 1.834
La 1.676 2.902 5.251
La 3.352 0.000 3.542
La 3.341 0.000 7.088
La 5.026 2.902 3.547
La 6.698 0.000 1.834
La 6.698 0.000 5.251
La 8.374 2.902 3.542
La 8.363 2.902 7.088

---

2:
! PBE LiLa5, optimized geometry; values from VASP
! N(E_F): 16.74 states/eV per cell
&SYSTEM
  ibrav = 0, nat = 12, ntyp = 2
/
ATOMIC_SPECIES
Li 6.94 Li.upf
La 138.91 La.upf
CELL_PARAMETERS angstrom
12.744 0.000 0.000
0.000 3.791 0.000
-3.336 0.000 8.465
ATOMIC_POSITIONS angstrom
Li 0.000 0.000 0.000
Li 6.372 1.896 0.000
La -1.035 1.896 7.134
La 1.108 1.896 2.633
La 1.863 0.000 5.819
La 3.992 0.000 1.180
La 4.632 1.896 4.154
La 5.337 0.000 7.134
La 7.480 0.000 2.633
La 8.235 1.896 5.819
La 10.364 1.896 1.180
La 11.004 0.000 4.154

---

Name the least stable of them. 1.

---

1:
! PBE LiLaMg4, optimized geometry; values from VASP
! N(E_F): 5.25 states/eV per cell
&SYSTEM
  ibrav = 0, nat = 6, ntyp = 3
/
ATOMIC_SPECIES
Li 6.94 Li.upf
La 138.91 La.upf
Mg 24.30 Mg.upf
CELL_PARAMETERS angstrom
0.000 4.299 4.299
4.299 0.000 4.299
4.299 4.299 0.000
ATOMIC_POSITIONS angstrom
Li 0.000 0.000 0.000
La 2.149 2.149 2.149
Mg 5.374 3.224 3.224
Mg 3.224 5.374 3.224
Mg 3.224 3.224 5.374
Mg 5.374 5.374 5.374

---

2:
! PBE LiLaMg4, optimized geometry; values from VASP
! N(E_F): 8.91 states/eV per cell
&SYSTEM
  ibrav = 0, nat = 12, ntyp = 3
/
ATOMIC_SPECIES
Li 6.94 Li.upf
La 138.91 La.upf
Mg 24.30 Mg.upf
CELL_PARAMETERS angstrom
8.761 0.000 0.000
0.000 4.421 0.000
0.000 0.000 7.780
ATOMIC_POSITIONS angstrom
Li 2.190 0.000 1.581
Li 6.571 0.000 6.199
La 2.190 0.000 4.781
La 6.571 0.000 2.998
Mg 0.000 0.000 0.000
Mg 0.463 2.211 2.368
Mg 2.190 2.211 7.351
Mg 3.918 2.211 2.368
Mg 4.381 0.000 0.000
Mg 4.844 2.211 5.412
Mg 6.571 2.211 0.429
Mg 8.298 2.211 5.412

---

3:
! PBE LiLaMg4, optimized geometry; values from VASP
! N(E_F): 3.65 states/eV per cell
&SYSTEM
  ibrav = 0, nat = 6, ntyp = 3
/
ATOMIC_SPECIES
Li 6.94 Li.upf
La 138.91 La.upf
Mg 24.30 Mg.upf
CELL_PARAMETERS angstrom
3.465 0.000 0.000
0.000 3.465 0.000
0.000 0.000 12.239
ATOMIC_POSITIONS angstrom
Li 0.000 0.000 0.000
La 1.732 1.732 6.119
Mg 0.000 0.000 3.604
Mg 0.000 0.000 8.635
Mg 1.732 1.732 1.681
Mg 1.732 1.732 10.558

---

Name the least stable of them. 1.

---

1:
! PBE LiLaMg2, optimized geometry; values from VASP
! N(E_F): 14.26 states/eV per cell
&SYSTEM
  ibrav = 0, nat = 12, ntyp = 3
/
ATOMIC_SPECIES
Li 6.94 Li.upf
La 138.91 La.upf
Mg 24.30 Mg.upf
CELL_PARAMETERS angstrom
3.332 0.000 0.000
-1.666 2.885 0.000
0.000 0.000 33.121
ATOMIC_POSITIONS angstrom
Li 0.000 0.000 0.000
Li 0.000 1.924 22.081
Li 1.666 0.962 11.040
La 0.000 0.000 25.069
La 0.000 1.924 14.029
La 1.666 0.962 2.989
Mg 0.000 0.000 8.562
Mg 0.000 0.000 16.935
Mg 0.000 1.924 5.895
Mg 0.000 1.924 30.643
Mg 1.666 0.962 19.602
Mg 1.666 0.962 27.975

---

2:
! PBE LiLaMg2, optimized geometry; values from VASP
! N(E_F): 2.99 states/eV per cell
&SYSTEM
  ibrav = 0, nat = 4, ntyp = 3
/
ATOMIC_SPECIES
Li 6.94 Li.upf
La 138.91 La.upf
Mg 24.30 Mg.upf
CELL_PARAMETERS angstrom
3.615 0.000 0.000
0.000 5.329 0.000
0.000 0.000 5.497
ATOMIC_POSITIONS angstrom
Li 0.000 0.000 0.000
La 1.807 2.665 0.000
Mg 0.000 2.665 2.749
Mg 1.807 0.000 2.749

---

Name the least stable of them. 1.

---

1:
! PBE LiLaMg2, optimized geometry; values from VASP
! N(E_F): 7.86 states/eV per cell
&SYSTEM
  ibrav = 0, nat = 8, ntyp = 3
/
ATOMIC_SPECIES
Li 6.94 Li.upf
La 138.91 La.upf
Mg 24.30 Mg.upf
CELL_PARAMETERS angstrom
7.889 0.000 0.000
0.000 7.911 0.000
0.000 0.000 3.587
ATOMIC_POSITIONS angstrom
Li 0.000 0.000 0.000
Li 3.945 3.956 0.000
La 0.000 3.956 0.000
La 3.945 0.000 0.000
Mg 1.972 1.978 1.794
Mg 1.972 5.933 1.794
Mg 5.917 1.978 1.794
Mg 5.917 5.933 1.794

---

2:
! PBE LiLaMg2, optimized geometry; values from VASP
! N(E_F): 9.15 states/eV per cell
&SYSTEM
  ibrav = 0, nat = 16, ntyp = 3
/
ATOMIC_SPECIES
Li 6.94 Li.upf
La 138.91 La.upf
Mg 24.30 Mg.upf
CELL_PARAMETERS angstrom
7.437 0.000 0.000
0.000 7.437 0.000
0.000 0.000 7.437
ATOMIC_POSITIONS angstrom
Li 0.000 0.000 0.000
Li 0.000 3.718 3.718
Li 3.718 0.000 3.718
Li 3.718 3.718 0.000
La 1.859 1.859 1.859
La 1.859 5.577 5.577
La 5.577 1.859 5.577
La 5.577 5.577 1.859
Mg 0.000 0.000 3.718
Mg 0.000 3.718 0.000
Mg 1.859 1.859 5.577
Mg 1.859 5.577 1.859
Mg 3.718 0.000 0.000
Mg 3.718 3.718 3.718
Mg 5.577 1.859 1.859
Mg 5.577 5.577 5.577

---

Name the least stable of them. 1.